(1)
A geometry-optimized HoTmTh structure. Source: Alexandria, functional PBE.

Computed properties:
The space group is R-3m, No. 166. As for the crystal system: trigonal. For the total energy, the calculation gives -32.82 eV/cell. The magnetic moment comes out at 0.0 Bohr magnetons per cell. The calculation puts the distance to the lowest polymorph of the same formula at 0 meV per atom.

Structure (POSCAR):
```
HoTmTh
1.0
3.562 -0.015 -0.011
-1.767 3.093 0.011
-1.725 -1.056 17.102
Tm Th Ho
2 2 2
Direct
0.833 0.416 0.249
0.167 0.584 0.751
0.722 0.861 0.583
0.278 0.139 0.417
0.388 0.694 0.082
0.612 0.306 0.918
```

***

(2)
A geometry-optimized CuRe3Ge structure. Source: Alexandria, functional PBE.

Computed properties:
The space group is Pm-3m, No. 221. As for the crystal system: cubic. For the total energy, the calculation gives -35.98 eV/cell. The magnetic moment comes out at 0.0 Bohr magnetons per cell. The calculation puts the distance to the lowest polymorph of the same formula at 0 meV per atom.

Structure (POSCAR):
```
CuRe3Ge
1.0
4.521 0.000 0.000
0.000 4.521 0.000
0.000 0.000 4.521
Cu Ge Re
1 1 3
Direct
0.500 0.500 0.500
0.000 0.000 0.000
0.000 0.000 0.500
0.500 0.000 0.000
0.000 0.500 0.000
```

***

(3)
A geometry-optimized LaCe2Fe9 structure. Source: Alexandria, functional PBE.

Computed properties:
The space group is R-3m, No. 166. As for the crystal system: trigonal. For the total energy, the calculation gives -93.16 eV/cell. The magnetic moment comes out at 16.6 Bohr magnetons per cell.

Structure (POSCAR):
```
LaCe2Fe9
1.0
4.898 0.000 1.458
2.232 4.359 1.458
0.061 0.037 8.753
Fe La Ce
9 1 2
Direct
0.084 0.582 0.753
0.667 0.667 0.998
0.916 0.418 0.247
0.418 0.418 0.247
0.333 0.333 0.002
0.582 0.084 0.753
0.500 0.500 0.500
0.582 0.582 0.753
0.418 0.916 0.247
0.000 0.000 0.000
0.143 0.143 0.572
0.857 0.857 0.428
```

***

(4)
A geometry-optimized RbMnNi structure. Source: Alexandria, functional PBE.

Computed properties:
The space group is P1, No. 1. As for the crystal system: triclinic. For the total energy, the calculation gives -28.15 eV/cell. The magnetic moment comes out at 0.0 Bohr magnetons per cell. The calculation puts the distance to the lowest polymorph of the same formula at 210 meV per atom.

Structure (POSCAR):
```
RbMnNi
1.0
-3.459 -0.428 0.503
2.397 -3.501 1.175
2.970 3.039 10.962
Rb Ni Mn
2 2 2
Direct
0.944 0.533 0.046
0.562 0.185 0.643
0.212 0.682 0.444
0.592 0.569 0.314
0.298 0.021 0.272
0.903 0.143 0.361
```

***

(5)
A geometry-optimized ZnCd3 structure. Source: Alexandria, functional PBE.

Computed properties:
The space group is P-6m2, No. 187. As for the crystal system: hexagonal. For the total energy, the calculation gives -3.84 eV/cell. The magnetic moment comes out at 0.0 Bohr magnetons per cell.

Structure (POSCAR):
```
ZnCd3
1.0
2.985 0.000 0.000
-1.493 2.585 0.000
0.000 0.000 10.816
Cd Zn
3 1
Direct
0.000 0.000 0.516
0.333 0.667 0.250
0.000 0.000 0.984
0.333 0.667 0.750
```

***

(6)
A geometry-optimized LaP2Se structure. Source: Alexandria, functional PBE.

Computed properties:
The space group is P4mm, No. 99. As for the crystal system: tetragonal. The calculation puts the raw formation energy at -541 meV/atom. For the total energy, the calculation gives -21.40 eV/cell. The magnetic moment comes out at 0.0 Bohr magnetons per cell.

Structure (POSCAR):
```
LaP2Se
1.0
-0.182 -1.255 -3.650
1.595 -3.351 1.073
-5.550 -2.300 1.067
P La Se
2 1 1
Direct
0.500 0.500 0.169
0.000 0.000 0.092
0.500 0.500 0.710
0.000 0.000 0.528
```

***

(7)
A geometry-optimized ErGaAgHg structure. Source: Alexandria, functional PBE.

Computed properties:
The space group is F-43m, No. 216. As for the crystal system: cubic. For the total energy, the calculation gives -12.00 eV/cell. The magnetic moment comes out at 0.0 Bohr magnetons per cell.

Structure (POSCAR):
```
ErGaAgHg
1.0
4.904 0.000 0.000
2.452 4.247 0.000
2.452 1.416 4.004
Ag Er Ga Hg
1 1 1 1
Direct
0.250 0.250 0.250
0.750 0.750 0.750
0.500 0.500 0.500
0.000 0.000 0.000
```

***

(8)
A geometry-optimized SmPaAl2 structure. Source: Alexandria, functional PBE.

Computed properties:
The space group is P4/mmm, No. 123. As for the crystal system: tetragonal. For the total energy, the calculation gives -22.58 eV/cell. The magnetic moment comes out at 0.0 Bohr magnetons per cell. The calculation puts the distance to the lowest polymorph of the same formula at 0 meV per atom.

Structure (POSCAR):
```
SmPaAl2
1.0
3.269 0.000 0.000
0.000 3.269 0.000
0.000 0.000 8.652
Al Pa Sm
2 1 1
Direct
0.000 0.000 0.756
0.000 0.000 0.244
0.500 0.500 0.000
0.500 0.500 0.500
```

***

(9)
A geometry-optimized Rb2BaBeAs2 structure. Source: Alexandria, functional PBE.

Computed properties:
The space group is Ibam, No. 72. As for the crystal system: orthorhombic. For the total energy, the calculation gives -38.46 eV/cell. The magnetic moment comes out at 0.0 Bohr magnetons per cell.

Structure (POSCAR):
```
Rb2BaBeAs2
1.0
7.537 0.000 0.000
0.000 7.110 0.000
-3.768 -3.555 7.551
Be Ba Rb As
2 2 4 4
Direct
0.500 0.750 0.000
0.500 0.250 0.000
0.000 0.750 0.000
0.000 0.250 0.000
0.515 0.818 0.635
0.880 0.682 0.365
0.485 0.182 0.365
0.120 0.318 0.635
0.250 0.926 0.852
0.750 0.074 0.148
0.398 0.574 0.148
0.602 0.426 0.852
```

***

(10)
A geometry-optimized Tm8P4S3 structure. Source: Alexandria, functional PBE.

Computed properties:
The space group is C2/m, No. 12. As for the crystal system: monoclinic. The calculation puts the raw formation energy at -1677 meV/atom. For the total energy, the calculation gives -94.95 eV/cell. The magnetic moment comes out at 0.0 Bohr magnetons per cell.

Structure (POSCAR):
```
Tm8P4S3
1.0
-2.501 -6.539 3.392
5.422 -0.337 -5.541
4.371 5.013 3.996
P S Tm
4 3 8
Direct
0.500 0.000 0.000
0.000 0.000 0.500
0.000 0.500 0.000
0.000 0.000 0.000
0.500 0.500 0.000
0.500 0.500 0.500
0.500 0.000 0.500
0.997 0.248 0.248
0.003 0.752 0.752
0.509 0.756 0.756
0.000 0.247 0.753
0.000 0.753 0.247
0.500 0.247 0.753
0.491 0.244 0.244
0.500 0.753 0.247
```

***

(11)
A geometry-optimized Zr2PRu structure. Source: Alexandria, functional PBE.

Computed properties:
The space group is P4/mmm, No. 123. As for the crystal system: tetragonal. For the total energy, the calculation gives -34.51 eV/cell. The magnetic moment comes out at 0.0 Bohr magnetons per cell.

Structure (POSCAR):
```
Zr2PRu
1.0
-3.012 0.888 -1.238
0.285 -2.365 -2.392
-2.717 -4.064 3.695
Zr P Ru
2 1 1
Direct
0.000 0.000 0.757
0.000 0.000 0.243
0.500 0.500 0.000
0.500 0.500 0.500
```

***

(12)
A geometry-optimized CaReCl structure. Source: Alexandria, functional PBE.

Computed properties:
The space group is P-6m2, No. 187. As for the crystal system: hexagonal. The calculation puts the raw formation energy at 633 meV/atom. For the total energy, the calculation gives -14.40 eV/cell. The magnetic moment comes out at 0.0 Bohr magnetons per cell. The calculation puts the distance to the lowest polymorph of the same formula at 339 meV per atom.

Structure (POSCAR):
```
CaReCl
1.0
-0.279 2.202 4.136
-3.913 -1.015 -2.387
-0.166 -2.634 1.391
Re Ca Cl
1 1 1
Direct
0.333 0.667 0.500
0.000 0.000 0.000
0.667 0.333 0.500
```

***

(13)
A geometry-optimized La4AsI5 structure. Source: Alexandria, functional PBE.

Computed properties:
The space group is C2/m, No. 12. As for the crystal system: monoclinic. The calculation puts the raw formation energy at -1454 meV/atom. For the total energy, the calculation gives -46.65 eV/cell. The magnetic moment comes out at 0.0 Bohr magnetons per cell.

Structure (POSCAR):
```
La4AsI5
1.0
-0.103 -4.240 -1.083
8.930 0.361 -2.261
0.320 -0.338 10.138
La I As
4 5 1
Direct
0.001 0.784 0.001
0.999 0.216 0.999
0.350 0.925 0.700
0.650 0.075 0.300
0.833 0.659 0.666
0.828 0.178 0.657
0.172 0.822 0.343
0.500 0.500 0.000
0.167 0.341 0.334
0.500 0.000 0.000
```

***

(14)
A geometry-optimized CsK2SCl structure. Source: Alexandria, functional PBE.

Computed properties:
The space group is P4/mmm, No. 123. As for the crystal system: tetragonal. The calculation puts the raw formation energy at -1229 meV/atom. For the total energy, the calculation gives -15.17 eV/cell. The magnetic moment comes out at 0.0 Bohr magnetons per cell.

Structure (POSCAR):
```
CsK2SCl
1.0
-0.901 -4.681 -3.554
4.744 1.544 -3.236
3.941 -3.776 3.975
S Cl K Cs
1 1 2 1
Direct
0.000 0.000 0.000
0.500 0.500 0.500
0.500 0.000 0.000
0.000 0.500 0.000
0.000 0.000 0.500
```

***

(15)
A geometry-optimized ThZn2 structure. Source: Alexandria, functional PBE.

Computed properties:
The space group is Fmmm, No. 69. As for the crystal system: orthorhombic. For the total energy, the calculation gives -10.28 eV/cell. The magnetic moment comes out at 0.0 Bohr magnetons per cell.

Structure (POSCAR):
```
ThZn2
1.0
3.328 -0.004 -0.011
-0.004 3.328 -0.011
-1.637 -1.637 5.728
Zn Th
2 1
Direct
0.193 0.193 0.386
0.807 0.807 0.614
0.500 0.500 0.000
```

***

(16)
A geometry-optimized K2Na3PuO6 structure. Source: Alexandria, functional PBE.

Computed properties:
The space group is C2/m, No. 12. As for the crystal system: monoclinic. The calculation puts the raw formation energy at -1966 meV/atom. For the total energy, the calculation gives -73.82 eV/cell. The magnetic moment comes out at 1.0 Bohr magnetons per cell.

Structure (POSCAR):
```
K2Na3PuO6
1.0
6.463 -0.064 -0.024
-3.285 5.566 -0.024
-1.079 -1.869 5.449
O Na Pu K
6 3 1 2
Direct
0.672 0.926 0.771
0.805 0.805 0.203
0.926 0.672 0.771
0.074 0.328 0.229
0.195 0.195 0.797
0.328 0.074 0.229
0.856 0.144 0.500
0.144 0.856 0.500
0.500 0.500 0.500
0.000 0.000 0.000
0.329 0.671 0.000
0.671 0.329 0.000
```

***

(17)
A geometry-optimized BaIn2As structure. Source: Alexandria, functional PBE.

Computed properties:
The space group is P4/mmm, No. 123. As for the crystal system: tetragonal. For the total energy, the calculation gives -13.21 eV/cell. The magnetic moment comes out at 0.0 Bohr magnetons per cell.

Structure (POSCAR):
```
BaIn2As
1.0
3.945 -0.001 0.000
0.001 3.945 0.000
0.000 0.000 7.590
In Ba As
2 1 1
Direct
0.000 0.000 0.439
0.000 0.000 0.061
0.500 0.500 0.750
0.500 0.500 0.250
```

***

(18)
A geometry-optimized Ti5Se8 structure. Source: Alexandria, functional PBE.

Computed properties:
The space group is C2/m, No. 12. As for the crystal system: monoclinic. The calculation puts the raw formation energy at -1171 meV/atom. For the total energy, the calculation gives -82.57 eV/cell. The magnetic moment comes out at 0.0 Bohr magnetons per cell.

Structure (POSCAR):
```
Ti5Se8
1.0
6.935 -0.004 -1.895
-4.176 5.595 -1.716
0.004 -0.087 7.057
Ti Se
5 8
Direct
0.232 0.732 0.500
0.762 0.748 0.509
0.768 0.268 0.500
0.238 0.252 0.491
0.000 0.000 0.000
0.214 0.543 0.757
0.706 0.041 0.746
0.786 0.457 0.243
0.780 0.951 0.241
0.290 0.461 0.241
0.220 0.049 0.759
0.710 0.539 0.759
0.294 0.959 0.254
```